1.
Here is crystalline Ac2Y3Pd2 at its relaxed geometry from the Alexandria database. Energies are from PBE.

- Crystal system: monoclinic
- Raw total energy: -41.5 eV/cell
- Theoretical density: 7.4 Mg/m³
- Total moment: 0.000 μB per cell
- Energy of formation from the pure elements: -494 meV per atom

abc: 6.7062 6.7062 9.4511
angles: 115.50 115.50 33.72
Closest atoms and distances in Å follow each position.
Fractional positions:
Ac 0.1574 0.1574 0.3052  2 Pd 3.21
Ac 0.8426 0.8426 0.6948  2 Pd 3.21
Y 0.3823 0.3823 0.0649  3 Pd 2.90-3.11
Y 0.5000 0.5000 0.5000  4 Pd 2.99
Y 0.6177 0.6177 0.9351  3 Pd 2.90-3.11
Pd 0.1608 0.1608 0.7394  5 Y 2.90-3.11, 2 Ac 3.21
Pd 0.8392 0.8392 0.2606  5 Y 2.90-3.11, 2 Ac 3.21

***

2.
Here is crystalline CsSnSeCl2 at its relaxed geometry from the Alexandria database. Energies are from PBE.

- Crystal system: tetragonal
- Formation energy (no corrections): -1.089 eV per atom
- Raw total energy: -17.5 eV/cell
- Theoretical density: 4.1 Mg/m³
- Total moment: 0.000 μB per cell

abc: 5.5831 5.5831 5.2741
angles: 90.00 90.00 90.00
Closest atoms and distances in Å follow each position.
Fractional positions:
Cs 0.0000 0.0000 0.0000  8 Cl 3.84, 4 Se 3.95
Sn 0.5000 0.5000 0.5000  2 Se 2.64, 4 Cl 2.79
Se 0.5000 0.5000 0.0000  2 Sn 2.64
Cl 0.0000 0.5000 0.5000  2 Sn 2.79
Cl 0.5000 0.0000 0.5000  2 Sn 2.79

***

3.
Here is crystalline Na4HgF2 at its relaxed geometry from the Alexandria database. Energies are from PBE.

- Crystal system: tetragonal
- Formation energy (no corrections): -1.051 eV per atom
- Raw total energy: -16.7 eV/cell
- Theoretical density: 2.7 Mg/m³
- Total moment: 0.000 μB per cell

abc: 7.7187 7.7187 7.7187
angles: 137.91 137.91 61.04
Closest atoms and distances in Å follow each position.
Fractional positions:
Na 0.0000 0.5000 0.5000  2 Hg 2.77, 4 F 3.09
Na 0.2413 0.2413 0.0000  1 F 2.07
Na 0.5000 0.0000 0.5000  2 Hg 2.77, 4 F 3.09
Na 0.7587 0.7587 0.0000  1 F 2.07
Hg 0.0000 0.0000 0.0000  4 Na 2.77
F 0.3969 0.3969 0.0000  1 Na 2.07
F 0.6031 0.6031 0.0000  1 Na 2.07

***

Look up the theoretical density of the third one. 2.7 Mg/m³